A plane-wave DFT calculation with GGA-PBE was carried out for a relaxed structure of SmZr2Ge2.

abc: 7.1310 7.1310 5.8179
angles: 109.93 109.93 99.73
Positions (direct):
Sm  0.1150  0.8850  0.7500
Sm  0.8850  0.1150  0.2500
Zr  0.2283  0.4350  0.0143
Zr  0.4350  0.2283  0.5143
Zr  0.5650  0.7717  0.4857
Zr  0.7717  0.5650  0.9857
Ge  0.1742  0.8258  0.2500
Ge  0.3834  0.6166  0.7500
Ge  0.6166  0.3834  0.2500
Ge  0.8258  0.1742  0.7500

Calculated values
Symmetry: C2/c (15)
Electronic total energy: -6.618 eV per atom
Total magnetization: 0.42 μB/f.u.
DFT formation energy: -0.408 eV/atom
Density of states at the Fermi level: 9.000 states/eV/cell